Entry 1:
A relaxed structure of RbSr2YPt. Source: the Alexandria database, functional PBE-GGA.

Results
Spin magnetization ... 0.0 μB per cell
Symmetry ... P4/mmm (123)
Density ... 4.24 g/cm3

abc: 6.2016 6.2016 5.5432
angles: 90.00 90.00 90.00
Last column: nearest neighbours and their distance in Å.
Fractional positions:
Sr1 0.0000 0.5000 0.0000  2 Pt 3.10
Pt1 0.0000 0.0000 0.0000  2 Y 2.77, 4 Sr 3.10
Sr2 0.5000 0.0000 0.0000  2 Pt 3.10
Rb1 0.5000 0.5000 0.5000  8 Sr 4.16, 4 Y 4.39
Y1 0.0000 0.0000 0.5000  2 Pt 2.77

***

Entry 2:
A relaxed structure of RbSrZn2Pt. Source: the Alexandria database, functional PBE-GGA.

Results
Spin magnetization ... 0.0 μB per cell
Symmetry ... P4/mmm (123)
Density ... 5.56 g/cm3

abc: 5.1419 5.1419 5.6414
angles: 90.00 90.00 90.00
Last column: nearest neighbours and their distance in Å.
Fractional positions:
Pt1 0.0000 0.0000 0.0000  4 Zn 2.57, 2 Sr 2.82
Zn1 0.5000 0.0000 0.0000  2 Pt 2.57
Rb1 0.5000 0.5000 0.5000  4 Sr 3.64, 8 Zn 3.82
Sr1 0.0000 0.0000 0.5000  2 Pt 2.82
Zn2 0.0000 0.5000 0.0000  2 Pt 2.57

***

Entry 3:
A relaxed structure of Rb2SrZrPt. Source: the Alexandria database, functional PBE-GGA.

Results
Spin magnetization ... 4.2 μB per cell
Symmetry ... P4/mmm (123)
Density ... 3.74 g/cm3

abc: 6.1473 6.3943 6.1473
angles: 90.00 90.00 90.00
Last column: nearest neighbours and their distance in Å.
Fractional positions:
Pt1 0.5000 0.5000 0.5000  4 Sr 4.35, 8 Rb 4.43
Sr1 0.0000 0.5000 0.0000  2 Zr 3.20
Zr1 0.0000 0.0000 0.0000  4 Rb 3.07, 2 Sr 3.20
Rb1 0.5000 0.0000 0.0000  2 Zr 3.07
Rb2 0.0000 0.0000 0.5000  2 Zr 3.07

***

Entry 4:
A relaxed structure of RbTa3Pt. Source: the Alexandria database, functional PBE-GGA.

Results
Spin magnetization ... 0.0 μB per cell
Symmetry ... Pm-3m (221)
Density ... 10.52 g/cm3

abc: 5.0650 5.0650 5.0650
angles: 90.00 90.00 90.00
Last column: nearest neighbours and their distance in Å.
Fractional positions:
Pt1 0.0000 0.0000 0.0000  6 Ta 2.53
Rb1 0.5000 0.5000 0.5000  12 Ta 3.58
Ta1 0.0000 0.0000 0.5000  2 Pt 2.53
Ta2 0.0000 0.5000 0.0000  2 Pt 2.53
Ta3 0.5000 0.0000 0.0000  2 Pt 2.53

***

Entry 5:
A relaxed structure of RbTaPt2. Source: the Alexandria database, functional PBE-GGA.

Results
Spin magnetization ... 0.0 μB per cell
Symmetry ... I-42d (122)
Density ... 9.69 g/cm3

abc: 7.6643 7.6643 6.6367
angles: 54.73 54.73 90.00
Last column: nearest neighbours and their distance in Å.
Fractional positions:
Pt1 0.8750 0.9590 0.7500  2 Ta 2.49
Ta1 0.7500 0.2500 0.5000  4 Pt 2.49
Ta2 0.0000 0.0000 0.0000  4 Pt 2.49
Rb1 0.2500 0.7500 0.5000  8 Pt 3.34-3.68
Pt2 0.0410 0.6250 0.2500  2 Ta 2.49
Rb2 0.5000 0.5000 0.0000  8 Pt 3.34-3.68
Pt3 0.3750 0.2910 0.7500  2 Ta 2.49
Pt4 0.7090 0.1250 0.2500  2 Ta 2.49

***

Entry 6:
A relaxed structure of Rb3TaPt. Source: the Alexandria database, functional PBE-GGA.

Results
Spin magnetization ... 4.0 μB per cell
Symmetry ... Pm-3m (221)
Density ... 3.60 g/cm3

abc: 6.6331 6.6331 6.6331
angles: 90.00 90.00 90.00
Last column: nearest neighbours and their distance in Å.
Fractional positions:
Rb1 0.0000 0.0000 0.5000  2 Ta 3.32
Rb2 0.5000 0.0000 0.0000  2 Ta 3.32
Ta1 0.0000 0.0000 0.0000  6 Rb 3.32
Pt1 0.5000 0.5000 0.5000  12 Rb 4.69
Rb3 0.0000 0.5000 0.0000  2 Ta 3.32

***

Entry 7:
A relaxed structure of Rb2TaPt. Source: the Alexandria database, functional PBE-GGA.

Results
Spin magnetization ... 5.8 μB per cell
Symmetry ... I-42d (122)
Density ... 4.55 g/cm3

abc: 12.6329 12.6329 9.2765
angles: 47.09 47.09 90.00
Last column: nearest neighbours and their distance in Å.
Fractional positions:
Pt1 0.0000 0.0000 0.0000  2 Ta 2.50
Pt2 0.7500 0.2500 0.5000  2 Ta 2.50
Rb1 0.9616 0.6250 0.2500  2 Pt 3.40
Rb2 0.7884 0.1250 0.2500  2 Pt 3.40
Rb3 0.8750 0.0384 0.7500  2 Pt 3.40
Rb4 0.3750 0.2116 0.7500  2 Pt 3.40
Ta1 0.5000 0.5000 0.0000  2 Pt 2.50
Ta2 0.2500 0.7500 0.5000  2 Pt 2.50

***

Entry 8:
A relaxed structure of RbTa2Pt. Source: the Alexandria database, functional PBE-GGA.

Results
Spin magnetization ... 0.0 μB per cell
Symmetry ... Fm-3m (225)
Density ... 14.11 g/cm3

abc: 4.7459 4.7459 4.7459
angles: 60.00 60.00 60.00
Last column: nearest neighbours and their distance in Å.
Fractional positions:
Ta1 0.7500 0.7500 0.7500  4 Rb 2.91, 4 Pt 2.91
Ta2 0.2500 0.2500 0.2500  4 Rb 2.91, 4 Pt 2.91
Pt1 0.5000 0.5000 0.5000  8 Ta 2.91
Rb1 0.0000 0.0000 0.0000  8 Ta 2.91

***

| no. | VASP energy (eV per atom) |
| --- | --- |
| 1 | -3.67 |
| 2 | -2.47 |
| 3 | -2.23 |
| 4 | -7.02 |
| 5 | -5.85 |
| 6 | -2.41 |
| 7 | -4.02 |
| 8 | -6.51 |